(a)
This record from the Alexandria database describes a relaxed ScIn2Cl crystal. The functional is PBE.

```
ScIn2Cl
1.0
3.530 0.000 0.000
0.000 4.769 0.000
-1.746 0.000 5.792
Sc In Cl
1 2 1
Direct
0.000 0.000 0.000
0.367 0.500 0.734
0.734 0.000 0.474
0.090 0.500 0.183
```

**Space group**: Pm (6)



(b)
This record from the Alexandria database describes a relaxed ScIn2Cl crystal. The functional is PBE.

```
ScIn2Cl
1.0
1.867 -2.805 0.000
1.867 2.805 0.000
0.000 0.000 9.279
Sc In Cl
1 2 1
Direct
0.000 0.000 0.000
0.500 0.500 0.252
0.500 0.500 0.748
0.000 0.000 0.500
```

**Space group**: Cmmm (65)



Short version: (b) is the least stable of them.



(a)
This record from the Alexandria database describes a relaxed InSe2Cl crystal. The functional is PBE.

```
InSe2Cl
1.0
-3.496 3.496 5.155
3.496 -3.496 5.155
3.496 3.496 -5.155
In Se Cl
2 4 2
Direct
0.000 0.000 0.000
0.750 0.250 0.500
0.094 0.625 0.969
0.375 0.344 0.469
0.656 0.125 0.031
0.875 0.906 0.531
0.250 0.750 0.500
0.500 0.500 0.000
```

**Space group**: I-42d (122)



(b)
This record from the Alexandria database describes a relaxed InSe2Cl crystal. The functional is PBE.

```
InSe2Cl
1.0
3.614 0.000 0.000
0.000 3.614 0.000
0.000 0.000 9.093
In Se Cl
1 2 1
Direct
0.000 0.000 0.000
0.000 0.000 0.454
0.500 0.500 0.369
0.500 0.500 0.836
```

**Space group**: P4mm (99)



(c)
This record from the Alexandria database describes a relaxed InSe2Cl crystal. The functional is PBE.

```
InSe2Cl
1.0
5.709 0.000 0.000
0.000 3.744 0.000
-0.755 0.000 6.078
In Se Cl
1 2 1
Direct
0.000 0.000 0.000
0.348 0.500 0.881
0.582 0.000 0.719
0.903 0.500 0.273
```

**Space group**: Pm (6)



Short version: (a) is the least stable of them.



(a)
This record from the Alexandria database describes a relaxed InSe2Cl crystal. The functional is PBE.

```
InSe2Cl
1.0
3.881 0.000 0.000
0.000 3.998 0.000
0.000 0.000 6.740
In Se Cl
1 2 1
Direct
0.000 0.000 0.000
0.000 0.500 0.500
0.500 0.000 0.500
0.500 0.500 0.000
```

**Space group**: Pmmm (47)



(b)
This record from the Alexandria database describes a relaxed InSe2Cl crystal. The functional is PBE.

```
InSe2Cl
1.0
3.982 -2.141 0.000
3.982 2.141 0.000
-1.967 0.000 7.559
In Se Cl
1 2 1
Direct
0.000 0.000 0.000
0.363 0.363 0.727
0.588 0.588 0.593
0.743 0.743 0.170
```

**Space group**: Cm (8)



Short version: (a) is the least stable of them.



(a)
This record from the Alexandria database describes a relaxed InSe2Cl crystal. The functional is PBE.

```
InSe2Cl
1.0
2.693 -6.741 0.000
2.693 6.741 0.000
-0.005 0.000 2.851
In Se Cl
1 2 1
Direct
0.000 0.000 0.000
0.000 0.500 0.500
0.500 0.000 0.500
0.500 0.500 0.000
```

**Space group**: C2/m (12)



(b)
This record from the Alexandria database describes a relaxed InSe2Cl crystal. The functional is PBE.

```
InSe2Cl
1.0
1.949 -3.618 0.000
1.949 3.618 0.000
0.000 0.000 8.856
In Se Cl
1 2 1
Direct
0.000 0.000 0.000
0.000 0.000 0.552
0.500 0.500 0.719
0.500 0.500 0.208
```

**Space group**: Cmm2 (35)



Short version: (a) is the least stable of them.



(a)
This record from the Alexandria database describes a relaxed InSe2Cl crystal. The functional is PBE.

```
InSe2Cl
1.0
2.686 -2.695 0.000
2.686 2.695 0.000
0.000 0.000 6.763
In Se Cl
1 2 1
Direct
0.000 0.000 0.000
0.500 0.500 0.188
0.500 0.500 0.812
0.000 0.000 0.500
```

**Space group**: Cmmm (65)



(b)
This record from the Alexandria database describes a relaxed InSe2Cl crystal. The functional is PBE.

```
InSe2Cl
1.0
2.086 1.204 7.823
-2.086 1.204 7.823
0.000 -2.409 7.823
In Se Cl
1 2 1
Direct
0.000 0.000 0.000
0.394 0.394 0.394
0.606 0.606 0.606
0.500 0.500 0.500
```

**Space group**: R-3m (166)



Short version: (a) is the least stable of them.



(a)
This record from the Alexandria database describes a relaxed InSe2Cl crystal. The functional is PBE.

```
InSe2Cl
1.0
5.217 0.000 0.000
0.000 4.007 0.000
-1.468 0.000 5.179
In Se Cl
1 2 1
Direct
0.000 0.000 0.000
0.382 0.500 0.161
0.618 0.500 0.839
0.000 0.000 0.500
```

**Space group**: P2/m (10)



(b)
This record from the Alexandria database describes a relaxed InSe2Cl crystal. The functional is PBE.

```
InSe2Cl
1.0
7.319 -2.047 0.000
7.319 2.047 0.000
-0.539 0.000 4.408
In Se Cl
1 2 1
Direct
0.000 0.000 0.000
0.272 0.272 0.887
0.728 0.728 0.113
0.500 0.500 0.500
```

**Space group**: C2/m (12)



Short version: (b) is the least stable of them.